Record 1
# ZrAs2Pb (PBE, relaxed)
data_ZrAs2Pb
_chemical_formula_sum 'Zr4 As8 Pb4'
_cell_length_a 7.096
_cell_length_b 7.096
_cell_length_c 7.096
_cell_angle_alpha 90.00
_cell_angle_beta 90.00
_cell_angle_gamma 90.00
_symmetry_space_group_name_H-M 'F -4 3 m'
_symmetry_Int_Tables_number 216
_symmetry_space_group_name_Hall 'F -4 2 3'
loop_
_atom_site_label
_atom_site_type_symbol
_atom_site_fract_x
_atom_site_fract_y
_atom_site_fract_z
_atom_site_occupancy
Zr1 Zr 0.000 0.000 0.000 1
As1 As 0.000 0.000 0.500 1
As2 As 0.250 0.250 0.250 1
Pb1 Pb 0.250 0.250 0.750 1
# DOS(E_F)   0.988 states/eV/atom
# ΔH_f (0 K)   220 meV per atom

=====

Record 2
# CePrAl (PBE, relaxed)
data_CePrAl
_chemical_formula_sum 'Ce1 Pr1 Al1'
_cell_length_a 5.2698
_cell_length_b 5.2698
_cell_length_c 3.1496
_cell_angle_alpha 90.00
_cell_angle_beta 90.00
_cell_angle_gamma 120.00
_symmetry_space_group_name_H-M 'P -6 m 2'
_symmetry_Int_Tables_number 187
_symmetry_space_group_name_Hall 'P -6 2'
loop_
_atom_site_label
_atom_site_type_symbol
_atom_site_fract_x
_atom_site_fract_y
_atom_site_fract_z
_atom_site_occupancy
Ce1 Ce 0.0000 0.0000 0.0000 1
Pr1 Pr 0.3333 0.6667 0.0000 1
Al1 Al 0.6667 0.3333 0.5000 1
# DOS(E_F)   1.572 states/eV/atom
# Distance to the lowest polymorph of the same formula   0.159 eV/atom
# ΔH_f (0 K)   -44 meV per atom

=====

Record 3
# PaTcNi (PBE, relaxed)
data_PaTcNi
_chemical_formula_sum 'Pa4 Tc4 Ni4'
_cell_length_a 6.848
_cell_length_b 7.197
_cell_length_c 5.161
_cell_angle_alpha 90.00
_cell_angle_beta 90.00
_cell_angle_gamma 90.00
_symmetry_space_group_name_H-M 'C m m m'
_symmetry_Int_Tables_number 65
_symmetry_space_group_name_Hall '-C 2 2'
loop_
_atom_site_label
_atom_site_type_symbol
_atom_site_fract_x
_atom_site_fract_y
_atom_site_fract_z
_atom_site_occupancy
Pa1 Pa 0.000 0.000 0.000 1
Pa2 Pa 0.000 0.500 0.500 1
Tc1 Tc 0.000 0.179 0.500 1
Ni1 Ni 0.165 0.500 0.000 1
# DOS(E_F)   0.847 states/eV/atom
# Distance to the lowest polymorph of the same formula   1.034 eV/atom
# ΔH_f (0 K)   698 meV per atom

=====

Record 4
# ZrTl2Ag (PBE, relaxed)
data_ZrTl2Ag
_chemical_formula_sum 'Zr2 Tl4 Ag2'
_cell_length_a 3.333
_cell_length_b 5.694
_cell_length_c 9.961
_cell_angle_alpha 90.00
_cell_angle_beta 90.00
_cell_angle_gamma 90.00
_symmetry_space_group_name_H-M 'C m m m'
_symmetry_Int_Tables_number 65
_symmetry_space_group_name_Hall '-C 2 2'
loop_
_atom_site_label
_atom_site_type_symbol
_atom_site_fract_x
_atom_site_fract_y
_atom_site_fract_z
_atom_site_occupancy
Zr1 Zr 0.000 0.000 0.000 1
Tl1 Tl 0.000 0.500 0.258 1
Ag1 Ag 0.000 0.000 0.500 1
# DOS(E_F)   0.519 states/eV/atom
# Distance to the lowest polymorph of the same formula   0.115 eV/atom
# ΔH_f (0 K)   126 meV per atom

=====

Q: The lowest DOS(E_F) belongs to which entry?
A: ZrTl2Ag